Entry 1:
# BeBi3Te GGA-PBE optimized geometry
data_BeBi3Te
_cell_length_a 5.891
_cell_length_b 5.891
_cell_length_c 5.891
_cell_angle_alpha 90.00
_cell_angle_beta 90.00
_cell_angle_gamma 90.00
_symmetry_space_group_name_H-M 'P m -3 m'
_symmetry_Int_Tables_number 221
_symmetry_space_group_name_Hall '-P 4 2 3'
loop_
_atom_site_label
_atom_site_type_symbol
_atom_site_fract_x
_atom_site_fract_y
_atom_site_fract_z
Be1 Be 0.000 0.000 0.000
Bi1 Bi 0.000 0.500 0.500
Te1 Te 0.500 0.500 0.500
# - Energy above the lowest structure with this stoichiometry: 4.20 eV per formula unit
# - Uncorrected energy: -2.44 eV/atom
# - Formation energy (no corrections): 1.2669 eV per atom

Entry 2:
# Ta2HgSe GGA-PBE optimized geometry
data_Ta2HgSe
_cell_length_a 6.624
_cell_length_b 6.624
_cell_length_c 6.624
_cell_angle_alpha 90.00
_cell_angle_beta 90.00
_cell_angle_gamma 90.00
_symmetry_space_group_name_H-M 'F m -3 m'
_symmetry_Int_Tables_number 225
_symmetry_space_group_name_Hall '-F 4 2 3'
loop_
_atom_site_label
_atom_site_type_symbol
_atom_site_fract_x
_atom_site_fract_y
_atom_site_fract_z
Ta1 Ta 0.250 0.250 0.250
Hg1 Hg 0.000 0.000 0.000
Se1 Se 0.000 0.000 0.500
# - Energy above the lowest structure with this stoichiometry: 1.64 eV per formula unit
# - Uncorrected energy: -6.49 eV/atom
# - Formation energy (no corrections): 0.3826 eV per atom

Entry 3:
# As2PdRu2 GGA-PBE optimized geometry
data_As2PdRu2
_cell_length_a 4.164
_cell_length_b 4.164
_cell_length_c 9.583
_cell_angle_alpha 90.00
_cell_angle_beta 90.00
_cell_angle_gamma 90.00
_symmetry_space_group_name_H-M 'I 4/m m m'
_symmetry_Int_Tables_number 139
_symmetry_space_group_name_Hall '-I 4 2'
loop_
_atom_site_label
_atom_site_type_symbol
_atom_site_fract_x
_atom_site_fract_y
_atom_site_fract_z
As1 As 0.000 0.000 0.125
Pd1 Pd 0.000 0.000 0.500
Ru1 Ru 0.000 0.500 0.250
# - Energy above the lowest structure with this stoichiometry: 0.00 eV per formula unit
# - Uncorrected energy: -6.70 eV/atom

Entry 4:
# MnRhSe2 GGA-PBE optimized geometry
data_MnRhSe2
_cell_length_a 4.471
_cell_length_b 4.471
_cell_length_c 3.210
_cell_angle_alpha 90.00
_cell_angle_beta 90.00
_cell_angle_gamma 90.00
_symmetry_space_group_name_H-M 'P 4/m m m'
_symmetry_Int_Tables_number 123
_symmetry_space_group_name_Hall '-P 4 2'
loop_
_atom_site_label
_atom_site_type_symbol
_atom_site_fract_x
_atom_site_fract_y
_atom_site_fract_z
Mn1 Mn 0.000 0.000 0.000
Rh1 Rh 0.500 0.500 0.000
Se1 Se 0.000 0.500 0.500
# - Energy above the lowest structure with this stoichiometry: 1.07 eV per formula unit
# - Uncorrected energy: -5.93 eV/atom
# - Formation energy (no corrections): -0.0612 eV per atom

Entry 5:
# Cd2CoPt2 GGA-PBE optimized geometry
data_Cd2CoPt2
_cell_length_a 6.494
_cell_length_b 6.494
_cell_length_c 4.271
_cell_angle_alpha 90.00
_cell_angle_beta 90.00
_cell_angle_gamma 90.00
_symmetry_space_group_name_H-M 'P 4/m b m'
_symmetry_Int_Tables_number 127
_symmetry_space_group_name_Hall '-P 4 2ab'
loop_
_atom_site_label
_atom_site_type_symbol
_atom_site_fract_x
_atom_site_fract_y
_atom_site_fract_z
Cd1 Cd 0.167 0.333 0.000
Co1 Co 0.000 0.000 0.500
Pt1 Pt 0.142 0.642 0.500
# - Uncorrected energy: -4.25 eV/atom

Entry 6:
# MgSb2Te GGA-PBE optimized geometry
data_MgSb2Te
_cell_length_a 7.529
_cell_length_b 7.541
_cell_length_c 3.727
_cell_angle_alpha 90.00
_cell_angle_beta 90.00
_cell_angle_gamma 90.00
_symmetry_space_group_name_H-M 'C m m m'
_symmetry_Int_Tables_number 65
_symmetry_space_group_name_Hall '-C 2 2'
loop_
_atom_site_label
_atom_site_type_symbol
_atom_site_fract_x
_atom_site_fract_y
_atom_site_fract_z
Mg1 Mg 0.000 0.000 0.000
Sb1 Sb 0.250 0.250 0.500
Te1 Te 0.000 0.500 0.000
# - Energy above the lowest structure with this stoichiometry: 1.30 eV per formula unit
# - Uncorrected energy: -3.19 eV/atom
# - Formation energy (no corrections): 0.0538 eV per atom

Total moment: 0.000 0.000 0.000 3.758 3.887 0.000 (Bohr magnetons per cell)